# CePr3Er12, optimized geometry, DFT PBE
# Density ... 8.45 g/cm3
# Energy relative to the elements ... 0.59 eV/f.u.
# Volume ... 31.55 Å³/atom
data_CePr3Er12
_chemical_formula_sum 'Ce1 Pr3 Er12'
_symmetry_space_group_name_H-M 'P 4/m m m'
_symmetry_Int_Tables_number 123
_symmetry_space_group_name_Hall '-P 4 2'
_cell_length_a 5.018
_cell_length_b 5.018
_cell_length_c 20.051
_cell_angle_alpha 90.00
_cell_angle_beta 90.00
_cell_angle_gamma 90.00
loop_
_atom_site_label
_atom_site_type_symbol
_atom_site_fract_x
_atom_site_fract_y
_atom_site_fract_z
Ce1 Ce 0.000 0.000 0.000
Pr1 Pr 0.000 0.000 0.248
Pr2 Pr 0.000 0.000 0.500
Er1 Er 0.000 0.500 0.122
Er2 Er 0.000 0.500 0.374
Er3 Er 0.500 0.500 0.000
Er4 Er 0.500 0.500 0.249
Er5 Er 0.500 0.500 0.500